{"formula": "NaNiSn2Hg", "functional": "PBE", "state": "relaxed", "e_tot_ev_per_cell": -15.592, "m_tot_mub_per_fu": 0.0, "dos_ef_per_ev_cell": 2.5, "vol_a3_per_cell": 131.2, "lattice_angstrom": [[4.8733, 0.0000, 0.0000], [0.0000, 4.8733, 0.0000], [0.0000, 0.0000, 5.5248]], "species": ["Na", "Ni", "Sn", "Sn", "Hg"], "frac_coords": [[0.0000, 0.0000, 0.0000], [0.0000, 0.0000, 0.5000], [0.0000, 0.5000, 0.5000], [0.5000, 0.0000, 0.5000], [0.5000, 0.5000, 0.0000]]}